The following is a DFT calculation (GGA-PBE) of an optimized crystal structure of BaZrMn2Ni.

Crystal system: tetragonal
VASP energy, eV per atom: -6.42
Magnetization, μB per atom: 1.450

Cell: 4.9266 4.8235 4.9266 Å, 90.00 90.00 90.00°
With the nearest neighbours (Å) after each atom.
Positions (direct):
Ba1 0.5000 0.5000 0.5000  8 Mn 3.45, 4 Zr 3.48
Mn1 0.5000 0.0000 0.0000  2 Ni 2.46
Mn2 0.0000 0.0000 0.5000  2 Ni 2.46
Zr1 0.0000 0.5000 0.0000  2 Ni 2.41
Ni1 0.0000 0.0000 0.0000  2 Zr 2.41, 4 Mn 2.46